1.
Ag2C: optimized geometry, PBE.

a b c (Å): 5.631 5.631 5.631
angles (deg): 90.00 90.00 90.00
Fractional coordinates of all 12 atoms:
1 C 0.000 0.000 0.000
2 C 0.500 0.500 0.000
3 C 0.500 0.000 0.500
4 C 0.000 0.500 0.500
5 Ag 0.664 0.664 0.336
6 Ag 0.336 0.336 0.664
7 Ag 0.164 0.836 0.664
8 Ag 0.836 0.164 0.336
9 Ag 0.336 0.164 0.164
10 Ag 0.664 0.836 0.836
11 Ag 0.836 0.336 0.836
12 Ag 0.164 0.664 0.164

The value obtained for the relative energy among the computed polymorphs is 843 meV/atom. For the volume, the calculation gives 14.88 A^3/atom. The value obtained for the formation energy is 1.470 eV/atom. Its symmetry is Pa-3.

---

2.
La2GaPt: optimized geometry, PBE.

a b c (Å): 4.431 6.153 8.514
angles (deg): 112.13 90.00 90.00
Fractional coordinates of all 8 atoms:
1 La 0.750 0.223 0.442
2 La 0.250 0.777 0.558
3 La 0.250 0.771 0.089
4 La 0.750 0.229 0.911
5 Ga 0.250 0.334 0.205
6 Ga 0.750 0.666 0.795
7 Pt 0.750 0.654 0.293
8 Pt 0.250 0.346 0.707

For the volume, the calculation gives 26.88 A^3/atom. The value obtained for the formation energy is -0.860 eV/atom. Its symmetry is P2_1/m.